(1)
Compound: Pr2HoEr7
Source: Alexandria via LeMat-Bulk
Functional: PBE
Structure: relaxed

Output
E_form: 0.156 eV/atom
energy relative to the lowest polymorph listed for this composition: 132.3 meV/atom
energy: -89.03 eV for the cell shown

Lattice parameters (Å, degrees): 6.4659 28.7429 3.5038 90.00 90.00 90.00
Closest atoms and distances in Å follow each position.
Space group Cmmm (No. 65)
Unique sites:
1 Pr 0.0000 0.2080 0.0000 x4  2 Pr 3.50, 8 Er 3.58-3.74
2 Ho 0.0000 0.5000 0.5000 x2  2 Ho 3.50, 12 Er 3.66-3.68
3 Er 0.0000 0.0000 0.0000 x2  6 Er 3.24-3.50
4 Er 0.0000 0.3166 0.5000 x4  6 Er 3.43-3.50, 6 Pr 3.58-3.74
5 Er 0.2456 0.4028 0.0000 x8  7 Er 3.18-3.50

=====

(2)
Compound: LiLaY
Source: Alexandria via LeMat-Bulk
Functional: PBE
Structure: relaxed

Output
E_form: 0.057 eV/atom
energy relative to the lowest polymorph listed for this composition: 0.0 meV/atom
energy: -26.27 eV for the cell shown

Lattice parameters (Å, degrees): 3.7016 3.7016 13.0991 90.00 90.00 90.00
Closest atoms and distances in Å follow each position.
Space group P4/nmm (No. 129, origin choice 2)
Unique sites:
1 Li 0.2500 0.2500 0.0497 x2  4 Li 2.92
2 La 0.2500 0.2500 0.3949 x2  4 Y 3.62, 8 La 3.70-3.80
3 Y 0.2500 0.2500 0.7957 x2  5 Li 3.31-3.33, 4 La 3.62, 4 Y 3.70